[1]
Below is crystalline La2CuBr at its relaxed geometry, with properties calculated at the GGA-PBEsol level.

```
La2CuBr
1.0
4.198 0.000 0.000
0.000 4.198 0.000
0.000 0.000 6.094
La Cu Br
2 1 1
Direct
0.000 0.000 0.000
0.500 0.500 0.500
0.000 0.000 0.500
0.500 0.500 0.000
```

Output
total moment: 0.00 μB/cell
distance to the lowest polymorph of the same formula: 0.000 eV per atom
ΔE_f (raw): -0.73 eV/atom
SG: P4/mmm
raw total energy: -4.95 eV/atom


[2]
Below is crystalline La2CuBr at its relaxed geometry, with properties calculated at the GGA-PBEsol level.

```
La2CuBr
1.0
4.238 0.000 0.000
-2.119 3.670 0.000
0.000 0.000 21.170
La Cu Br
6 3 3
Direct
0.000 0.000 0.245
0.000 0.000 0.755
0.333 0.667 0.422
0.333 0.667 0.911
0.667 0.333 0.089
0.667 0.333 0.578
0.000 0.000 0.500
0.333 0.667 0.167
0.667 0.333 0.833
0.000 0.000 0.000
0.333 0.667 0.667
0.667 0.333 0.333
```

Output
total moment: 0.00 μB/cell
distance to the lowest polymorph of the same formula: 0.043 eV per atom
ΔE_f (raw): -0.69 eV/atom
SG: R-3m
raw total energy: -4.91 eV/atom


[3]
Below is crystalline LaTa2CuBrO7 at its relaxed geometry, with properties calculated at the GGA-PBEsol level.

```
LaTa2CuBrO7
1.0
3.881 0.000 0.000
0.000 3.881 0.000
0.000 0.000 11.644
La Ta Cu Br O
1 2 1 1 7
Direct
0.000 0.000 0.000
0.500 0.500 0.190
0.500 0.500 0.810
0.500 0.500 0.500
0.000 0.000 0.500
0.000 0.500 0.154
0.000 0.500 0.846
0.500 0.000 0.154
0.500 0.000 0.846
0.500 0.500 0.000
0.500 0.500 0.344
0.500 0.500 0.656
```

Output
total moment: 0.14 μB/cell
ΔE_f (raw): -2.51 eV/atom
SG: P4/mmm
raw total energy: -8.63 eV/atom


[4]
Below is crystalline Li2CuBr at its relaxed geometry, with properties calculated at the GGA-PBEsol level.

```
Li2CuBr
1.0
6.566 0.000 0.000
0.000 6.566 0.000
0.000 0.000 6.566
Li Cu Br
8 4 4
Direct
0.000 0.000 0.000
0.000 0.500 0.500
0.250 0.250 0.250
0.250 0.750 0.750
0.500 0.000 0.500
0.500 0.500 0.000
0.750 0.250 0.750
0.750 0.750 0.250
0.250 0.250 0.750
0.250 0.750 0.250
0.750 0.250 0.250
0.750 0.750 0.750
0.000 0.000 0.500
0.000 0.500 0.000
0.500 0.000 0.000
0.500 0.500 0.500
```

Output
total moment: 0.00 μB/cell
distance to the lowest polymorph of the same formula: 0.380 eV per atom
ΔE_f (raw): -0.07 eV/atom
SG: F-43m
raw total energy: -2.60 eV/atom